[1]
A plane-wave DFT calculation with PBE was carried out for an optimized crystal structure of UAgSnHg.

The structure belongs to space group F-43m (No. 216); the cell edges are 7.237, 7.237 and 7.237 Å and the angles 90.00°, 90.00° and 90.00°. The distinct sites, in fractional coordinates, are U at (0.000, 0.000, 0.000), Ag at (0.000, 0.000, 0.500), Sn at (0.250, 0.250, 0.750) and Hg at (0.250, 0.250, 0.250).

The formation enthalpy at 0 K comes out at 131 meV/atom.

=====

[2]
A plane-wave DFT calculation with PBE was carried out for an optimized crystal structure of Ag3BS3.

The structure belongs to space group Cmcm (No. 63); the cell edges are 7.666, 13.258 and 5.516 Å and the angles 90.00°, 90.00° and 90.00°. The distinct sites, in fractional coordinates, are Ag at (0.000, 0.199, 0.250), Ag at (0.201, 0.401, 0.250), B at (0.000, 0.333, 0.750), S at (0.000, 0.195, 0.750) and S at (0.206, 0.402, 0.750).

The calculation puts the energy relative to the elements, uncorrected at -6.9 kJ/mol of atoms.

=====

[3]
A plane-wave DFT calculation with PBE was carried out for an optimized crystal structure of La8Nd.

The structure belongs to space group I4/mmm (No. 139); the cell edges are 11.129, 11.129 and 5.282 Å and the angles 90.00°, 90.00° and 90.00°. The distinct sites, in fractional coordinates, are La at (0.000, 0.333, 0.000), La at (0.167, 0.167, 0.500) and Nd at (0.000, 0.000, 0.000).

The formation enthalpy at 0 K comes out at 7 meV/atom.

=====

[4]
A plane-wave DFT calculation with PBE was carried out for an optimized crystal structure of TaBeAgC2.

The structure belongs to space group P4/mmm (No. 123); the cell edges are 3.781, 3.781 and 4.292 Å and the angles 90.00°, 90.00° and 90.00°. The distinct sites, in fractional coordinates, are Ta at (0.000, 0.000, 0.000), Be at (0.000, 0.000, 0.500), Ag at (0.500, 0.500, 0.000) and C at (0.000, 0.500, 0.500).

The formation enthalpy at 0 K comes out at 1958 meV/atom.

=====

[5]
A plane-wave DFT calculation with PBE was carried out for an optimized crystal structure of BeZnBr2.

The structure belongs to space group Imm2 (No. 44); the cell edges are 3.323, 8.301 and 9.087 Å and the angles 90.00°, 90.00° and 90.00°. The distinct sites, in fractional coordinates, are Be at (0.000, 0.000, 0.000), Zn at (0.000, 0.500, 0.281), Br at (0.000, 0.000, 0.571) and Br at (0.000, 0.500, 0.661).

Its energy above the most stable polymorph in this dataset is 182.6 meV/atom. The calculation puts the energy relative to the elements, uncorrected at -16.8 kJ/mol of atoms.

=====

[6]
A plane-wave DFT calculation with PBE was carried out for an optimized crystal structure of HoIn6Ag6.

The structure belongs to space group Immm (No. 71); the cell edges are 5.861, 9.680 and 9.812 Å and the angles 90.00°, 90.00° and 90.00°. The distinct sites, in fractional coordinates, are Ho at (0.000, 0.000, 0.000), In at (0.000, 0.000, 0.340), In at (0.000, 0.345, 0.000), In at (0.000, 0.500, 0.324), Ag at (0.000, 0.261, 0.500) and Ag at (0.250, 0.250, 0.250).

The formation enthalpy at 0 K comes out at -138 meV/atom.

=====

[7]
A plane-wave DFT calculation with PBE was carried out for an optimized crystal structure of CaCd3Ir.

The structure belongs to space group Pm-3m (No. 221); the cell edges are 5.186, 5.186 and 5.186 Å and the angles 90.00°, 90.00° and 90.00°. The distinct sites, in fractional coordinates, are Ca at (0.000, 0.000, 0.000), Cd at (0.000, 0.500, 0.500) and Ir at (0.500, 0.500, 0.500).

Its energy above the most stable polymorph in this dataset is 0.0 meV/atom. The formation enthalpy at 0 K comes out at 17 meV/atom.

=====

[8]
A plane-wave DFT calculation with PBE was carried out for an optimized crystal structure of LiCePr2Te5.

The structure belongs to space group Cmc2_1 (No. 36); the cell edges are 4.468, 18.904 and 13.397 Å and the angles 90.00°, 90.00° and 90.00°. The distinct sites, in fractional coordinates, are Li at (0.000, 0.053, 0.000), Ce at (0.000, 0.300, 0.543), Pr at (0.000, 0.374, 0.838), Pr at (0.000, 0.393, 0.221), Te at (0.000, 0.002, 0.316), Te at (0.000, 0.133, 0.534), Te at (0.000, 0.185, 0.878), Te at (0.000, 0.215, 0.207) and Te at (0.000, 0.452, 0.609).

The calculation puts the energy relative to the elements, uncorrected at -126.1 kJ/mol of atoms.

=====

V for the records above, in order: 379.1 560.7 654.2 61.3 250.7 556.7 139.5 1131.6 Å³ per cell